Density functional theory data (GGA-PBE) for a relaxed Pu2GaB2Rh5 crystal.

Structure (POSCAR):
```
Pu2GaB2Rh5
1.0
3.197 0.000 0.000
0.000 9.578 0.000
0.000 0.000 9.578
Rh Pu B Ga
10 4 4 2
direct
0.500 0.220 0.069
0.500 0.431 0.280
0.500 0.069 0.780
0.500 0.780 0.931
0.500 0.500 0.000
0.500 0.569 0.720
0.500 0.720 0.431
0.500 0.931 0.220
0.500 0.000 0.500
0.500 0.280 0.569
0.000 0.823 0.677
0.000 0.323 0.823
0.000 0.677 0.177
0.000 0.177 0.323
0.000 0.622 0.878
0.000 0.378 0.122
0.000 0.122 0.622
0.000 0.878 0.378
0.000 0.000 0.000
0.000 0.500 0.500
```

## Properties
Raw total energy in eV for the cell shown: -175.01
Formation energy from the elements in meV/atom: -570


Density functional theory data (GGA-PBE) for a relaxed Mn3Mo crystal.

Structure (POSCAR):
```
Mn3Mo
1.0
-1.435 -1.358 1.705
7.882 -2.512 2.636
-0.812 1.126 2.210
Mo Mn
1 3
direct
0.750 0.250 0.750
0.507 0.520 0.507
0.250 0.750 0.250
0.993 0.980 0.993
```

## Properties
Raw total energy in eV for the cell shown: -37.29
Formation energy from the elements in meV/atom: 262


Density functional theory data (GGA-PBE) for a relaxed KInAgAu3 crystal.

Structure (POSCAR):
```
KInAgAu3
1.0
6.963 0.000 0.000
0.000 6.879 0.000
0.000 -3.439 6.371
Ag Au K In
2 6 2 2
direct
0.250 0.939 0.879
0.750 0.061 0.121
0.000 0.713 0.000
0.000 0.287 0.000
0.750 0.842 0.684
0.500 0.287 0.000
0.500 0.713 0.000
0.250 0.158 0.316
0.750 0.301 0.603
0.250 0.699 0.397
0.250 0.371 0.742
0.750 0.629 0.258
```

## Properties
Raw total energy in eV for the cell shown: -34.01
Formation energy from the elements in meV/atom: -81